Entry 1:
{"formula": "SmCoAs2Ru", "functional": "GGA-PBE", "state": "optimized geometry", "cell": [[4.012, 0.000, 0.000], [0.000, 4.012, 0.000], [-2.006, -2.006, 5.420]], "species": ["Sm", "Co", "As", "As", "Ru"], "frac_coords": [[0.000, 0.000, 0.000], [0.750, 0.250, 0.500], [0.629, 0.629, 0.257], [0.371, 0.371, 0.743], [0.250, 0.750, 0.500]], "e_tot_ev_per_atom": -6.76, "formation_enthalpy_0k_ev_per_atom": -0.681, "space_group": "I-4m2", "vol_a3_per_atom": 17.45, "magnetic_moment_mub_per_cell": 0.00}

---

Entry 2:
{"formula": "NiHgAs2Se", "functional": "GGA-PBE", "state": "optimized geometry", "cell": [[4.599, 0.000, 0.000], [0.000, 4.599, 0.000], [0.000, 0.000, 5.059]], "species": ["Ni", "As", "As", "Hg", "Se"], "frac_coords": [[0.000, 0.000, 0.000], [0.000, 0.500, 0.000], [0.500, 0.000, 0.000], [0.500, 0.500, 0.500], [0.000, 0.000, 0.500]], "e_tot_ev_per_atom": -3.40, "space_group": "P4/mmm", "vol_a3_per_atom": 21.39, "magnetic_moment_mub_per_cell": 0.00, "raw_formation_energy_kj_per_mol_fu": 182}

---

Entry 3:
{"formula": "TaPd2AuSe", "functional": "GGA-PBE", "state": "optimized geometry", "cell": [[4.941, 0.000, 0.000], [0.000, 4.737, 0.000], [0.000, 0.000, 4.941]], "species": ["Au", "Se", "Pd", "Pd", "Ta"], "frac_coords": [[0.000, 0.000, 0.000], [0.000, 0.500, 0.000], [0.000, 0.000, 0.500], [0.500, 0.000, 0.000], [0.500, 0.500, 0.500]], "e_tot_ev_per_atom": -4.50, "space_group": "P4/mmm", "vol_a3_per_atom": 23.12, "magnetic_moment_mub_per_cell": 1.96, "raw_formation_energy_kj_per_mol_fu": 629}